[1]
Y4Er2Tm5 | GGA-PBE | optimized geometry Values from VASP.

Structure (Quantum ESPRESSO input):
```
&SYSTEM
  ibrav = 0, nat = 11, ntyp = 3
/
ATOMIC_SPECIES
Y 88.91 Y.upf
Er 167.26 Er.upf
Tm 168.93 Tm.upf
ATOMIC_POSITIONS angstrom
Y 0.000 0.000 2.261
Y 1.745 1.726 0.000
Y 0.000 2.741 11.503
Y 0.000 0.000 20.744
Er 0.000 0.000 5.333
Er 0.000 0.000 17.673
Tm 1.745 2.712 -3.328
Tm 1.745 2.712 3.328
Tm 0.000 4.466 0.000
Tm 0.000 1.754 8.175
Tm 0.000 1.754 14.830
CELL_PARAMETERS angstrom
-1.745 4.466 11.503
1.745 -4.466 11.503
1.745 4.466 -11.503
```

* density of states at the Fermi level: 17.77 states/eV per cell
* magnetic moment: 0.00 μB per cell

***

[2]
NaMgTl2Pd | GGA-PBE | optimized geometry Values from VASP.

Structure (Quantum ESPRESSO input):
```
&SYSTEM
  ibrav = 0, nat = 5, ntyp = 4
/
ATOMIC_SPECIES
Na 22.99 Na.upf
Mg 24.30 Mg.upf
Tl 204.38 Tl.upf
Pd 106.42 Pd.upf
ATOMIC_POSITIONS angstrom
Na 0.000 0.000 0.000
Mg 2.674 2.674 0.000
Tl 0.000 2.674 2.536
Tl 2.674 0.000 2.536
Pd 2.674 2.674 2.536
CELL_PARAMETERS angstrom
5.348 0.000 0.000
0.000 5.348 0.000
0.000 0.000 5.072
```

* density of states at the Fermi level: 2.86 states/eV per cell
* magnetic moment: 0.00 μB per cell

***

[3]
Ac2TlGa2 | GGA-PBE | optimized geometry Values from VASP.

Structure (Quantum ESPRESSO input):
```
&SYSTEM
  ibrav = 0, nat = 10, ntyp = 3
/
ATOMIC_SPECIES
Ac 227.00 Ac.upf
Tl 204.38 Tl.upf
Ga 69.72 Ga.upf
ATOMIC_POSITIONS angstrom
Ac -1.158 0.000 4.345
Ac -1.518 0.000 8.698
Ac 7.807 0.000 1.652
Ac 7.448 0.000 6.005
Tl 4.403 0.000 2.007
Tl 1.886 0.000 8.343
Ga -4.716 0.000 9.762
Ga 2.378 0.000 4.030
Ga 3.912 0.000 6.320
Ga 11.005 0.000 0.588
CELL_PARAMETERS angstrom
6.066 -2.423 0.000
6.066 2.423 0.000
-5.842 0.000 10.350
```

* density of states at the Fermi level: 4.55 states/eV per cell
* magnetic moment: 0.00 μB per cell

***

[4]
HfTi3Ag | GGA-PBE | optimized geometry Values from VASP.

Structure (Quantum ESPRESSO input):
```
&SYSTEM
  ibrav = 0, nat = 5, ntyp = 3
/
ATOMIC_SPECIES
Hf 178.49 Hf.upf
Ti 47.87 Ti.upf
Ag 107.87 Ag.upf
ATOMIC_POSITIONS angstrom
Hf 0.000 0.000 0.000
Ti 0.000 0.000 2.425
Ti 0.000 2.425 0.000
Ti 2.425 0.000 0.000
Ag 2.425 2.425 2.425
CELL_PARAMETERS angstrom
4.849 0.000 0.000
0.000 4.849 0.000
0.000 0.000 4.849
```

* density of states at the Fermi level: 9.28 states/eV per cell
* magnetic moment: 1.71 μB per cell

***

[5]
ZrBrCl2 | GGA-PBE | optimized geometry Values from VASP.

Structure (Quantum ESPRESSO input):
```
&SYSTEM
  ibrav = 0, nat = 4, ntyp = 3
/
ATOMIC_SPECIES
Zr 91.22 Zr.upf
Br 79.90 Br.upf
Cl 35.45 Cl.upf
ATOMIC_POSITIONS angstrom
Zr 0.000 0.000 0.000
Br 0.000 0.000 6.992
Cl 1.628 0.000 2.015
Cl 0.000 2.586 4.978
CELL_PARAMETERS angstrom
-1.628 2.586 6.992
1.628 -2.586 6.992
1.628 2.586 -6.992
```

* density of states at the Fermi level: 1.18 states/eV per cell
* magnetic moment: 0.00 μB per cell

***

[6]
ZrBe2Au | GGA-PBE | optimized geometry Values from VASP.

Structure (Quantum ESPRESSO input):
```
&SYSTEM
  ibrav = 0, nat = 4, ntyp = 3
/
ATOMIC_SPECIES
Zr 91.22 Zr.upf
Be 9.01 Be.upf
Au 196.97 Au.upf
ATOMIC_POSITIONS angstrom
Zr 0.000 0.000 0.000
Be 0.000 2.082 1.709
Be 2.082 0.000 1.709
Au 2.082 2.082 0.000
CELL_PARAMETERS angstrom
4.164 0.000 0.000
0.000 4.164 0.000
0.000 0.000 3.418
```

* density of states at the Fermi level: 2.38 states/eV per cell
* magnetic moment: 0.00 μB per cell

***

Calculated E_tot, -4.94; -2.66; -3.77; -6.06; -4.81; -4.85 eV per atom (same order as the records).